5
Lattice="-1.401 -3.805 -1.898 2.487 -2.354 2.884 -3.449 -0.152 2.850" Properties=species:S:1:pos:R:3 comment="ZrC3Br (PBE-GGA, relaxed)" total_energy_ev_per_atom=-5.101 de_polymorph_ev_per_atom=0.0000 formation_energy_uncorrected_ev_per_atom=2.48 mass_density_g_cm3=3.834 pbc="T T T"
Br -1.182 -3.156 1.918
Zr 0.000 0.000 0.000
C -0.700 -1.902 -0.949
C -1.725 -0.076 1.425
C 1.243 -1.177 1.442


8
Lattice="-1.596 0.810 -5.412 5.354 -0.934 -1.719 0.811 -5.322 -4.037" Properties=species:S:1:pos:R:3 comment="Zr2CBr (PBE-GGA, relaxed)" total_energy_ev_per_atom=-7.211 formation_energy_uncorrected_ev_per_atom=-0.21 mass_density_g_cm3=5.205 pbc="T T T"
C 4.022 -3.159 -4.661
Zr 2.475 -4.118 -5.849
Zr 0.011 -1.010 -4.144
Br 0.547 -2.287 -6.507
Zr 3.213 -1.744 -3.223
Zr 3.439 -4.020 -9.120
Br 0.000 0.000 0.000
C 1.879 -0.062 -3.565


10
Lattice="7.214 0.000 0.000 0.000 7.214 0.000 0.000 0.000 3.116" Properties=species:S:1:pos:R:3 comment="ZrC2Br2 (PBE-GGA, relaxed)" total_energy_ev_per_atom=-4.247 de_polymorph_ev_per_atom=0.3805 formation_energy_uncorrected_ev_per_atom=1.82 mass_density_g_cm3=5.633 pbc="T T T"
C 2.087 1.520 1.558
Zr 3.607 3.607 0.000
Br 6.225 4.595 0.000
C 5.127 5.694 1.558
Br 0.988 2.618 0.000
Zr 0.000 0.000 0.000
C 5.694 2.087 1.558
Br 2.618 6.225 0.000
C 1.520 5.127 1.558
Br 4.595 0.988 0.000


5
Lattice="3.057 0.000 0.000 0.000 3.057 0.000 1.529 1.529 10.595" Properties=species:S:1:pos:R:3 comment="ZrC2Br2 (PBE-GGA, relaxed)" total_energy_ev_per_atom=-4.627 de_polymorph_ev_per_atom=0.0000 formation_energy_uncorrected_ev_per_atom=1.44 mass_density_g_cm3=4.612 pbc="T T T"
Br 3.057 3.057 8.826
Br 1.529 1.529 1.769
C 3.057 1.529 5.297
Zr 0.000 0.000 0.000
C 1.529 3.057 5.297


4
Lattice="0.000 3.005 3.005 3.005 0.000 3.005 3.005 3.005 0.000" Properties=species:S:1:pos:R:3 comment="ZrC2Br (PBE-GGA, relaxed)" total_energy_ev_per_atom=-5.191 de_polymorph_ev_per_atom=0.4254 formation_energy_uncorrected_ev_per_atom=1.98 mass_density_g_cm3=5.973 pbc="T T T"
Zr 3.005 3.005 3.005
C 1.502 1.502 1.502
Br 0.000 0.000 0.000
C 4.507 4.507 4.507


5
Lattice="-3.487 1.047 2.856 -3.035 -0.900 -3.375 -0.208 -4.416 1.365" Properties=species:S:1:pos:R:3 comment="Zr3CBr (PBE-GGA, relaxed)" total_energy_ev_per_atom=-7.262 de_polymorph_ev_per_atom=0.0000 formation_energy_uncorrected_ev_per_atom=0.05 mass_density_g_cm3=6.127 pbc="T T T"
C 0.000 0.000 0.000
Zr -1.743 0.524 1.428
Br -3.365 -2.135 0.424
Zr -0.104 -2.208 0.683
Zr -1.518 -0.450 -1.687


5
Lattice="-2.159 2.842 3.938 3.932 -1.506 3.243 2.850 4.231 -1.491" Properties=species:S:1:pos:R:3 comment="ZrCBr3 (PBE-GGA, relaxed)" total_energy_ev_per_atom=-3.957 de_polymorph_ev_per_atom=0.0000 formation_energy_uncorrected_ev_per_atom=0.60 mass_density_g_cm3=3.793 pbc="T T T"
Br 1.966 -0.753 1.621
Br 1.425 2.116 -0.745
Br -1.080 1.421 1.969
Zr 0.000 0.000 0.000
C 2.312 2.784 2.845


4
Lattice="1.683 -0.726 4.108 -2.088 -2.814 2.821 1.858 -3.973 1.000" Properties=species:S:1:pos:R:3 comment="Zr2CBr (PBE-GGA, relaxed)" total_energy_ev_per_atom=-6.805 formation_energy_uncorrected_ev_per_atom=0.19 mass_density_g_cm3=7.078 pbc="T T T"
Zr 0.363 -1.878 1.982
Br 0.727 -3.756 3.964
Zr 1.090 -5.634 5.947
C 0.000 0.000 0.000


4
Lattice="5.028 0.000 0.000 0.000 5.028 0.000 0.000 0.000 4.402" Properties=species:S:1:pos:R:3 comment="CaBr3 (PBE-GGA, relaxed)" total_energy_ev_per_atom=-2.761 formation_energy_uncorrected_ev_per_atom=-1.01 mass_density_g_cm3=4.175 pbc="T T T"
Br 2.514 0.000 2.201
Ca 0.000 2.514 2.201
Br 0.000 0.000 0.000
Br 2.514 2.514 0.000


6
Lattice="3.337 -5.779 0.000 3.337 5.779 0.000 0.000 0.000 6.119" Properties=species:S:1:pos:R:3 comment="Ca5Br (PBE-GGA, relaxed)" total_energy_ev_per_atom=-2.157 de_polymorph_ev_per_atom=0.1816 formation_energy_uncorrected_ev_per_atom=-0.21 mass_density_g_cm3=1.972 pbc="T T T"
Ca 2.261 3.916 0.000
Ca 3.337 -1.926 3.060
Ca 2.152 0.000 0.000
Br 0.000 0.000 3.060
Ca 2.261 -3.916 0.000
Ca 3.337 1.926 3.060


4
Lattice="-4.007 -0.264 -0.143 2.263 -2.799 -1.788 0.057 -5.898 9.302" Properties=species:S:1:pos:R:3 comment="CaBr3 (PBE-GGA, relaxed)" total_energy_ev_per_atom=-2.923 formation_energy_uncorrected_ev_per_atom=-1.17 mass_density_g_cm3=3.016 pbc="T T T"
Br -1.903 -2.583 1.634
Br 0.033 -3.473 5.477
Br 0.052 -5.374 8.476
Ca -1.875 -5.532 6.286


7
Lattice="-4.892 -1.200 4.548 -1.084 -1.299 -6.572 1.982 -5.326 0.726" Properties=species:S:1:pos:R:3 comment="Ca3Br4 (PBE-GGA, relaxed)" total_energy_ev_per_atom=-2.697 formation_energy_uncorrected_ev_per_atom=-0.88 mass_density_g_cm3=3.196 pbc="T T T"
Br 0.500 -1.343 0.183
Br -1.362 -3.929 -2.502
Br -2.632 -3.896 1.204
Ca -2.446 -0.600 2.274
Ca -0.542 -0.650 -3.286
Br 1.482 -3.984 0.543
Ca -2.988 -1.250 -1.012


18
Lattice="-8.246 -0.288 -6.178 2.860 -8.443 5.175 -4.172 1.944 5.478" Properties=species:S:1:pos:R:3 comment="Ca5Br4 (PBE-GGA, relaxed)" total_energy_ev_per_atom=-2.763 formation_energy_uncorrected_ev_per_atom=-0.91 mass_density_g_cm3=2.623 pbc="T T T"
Ca -0.842 -5.725 1.391
Br -3.604 0.397 -0.549
Ca -4.544 -3.007 -2.394
Br -8.814 1.260 -0.151
Br -2.086 0.972 2.739
Ca 1.090 -5.811 5.229
Ca -5.225 1.385 2.538
Br -1.157 -4.363 7.676
Ca -6.630 -2.034 0.345
Br -0.155 -2.136 2.977
Ca -7.146 -5.053 3.360
Ca -2.402 -0.688 5.424
Br 0.000 0.000 0.000
Br -4.756 -5.534 0.678
Ca -7.193 0.271 -3.238
Ca -2.928 -4.753 4.130
Br -4.802 -1.253 3.797
Ca -2.412 -1.733 1.114


5
Lattice="-3.467 3.467 3.467 3.467 -3.467 3.467 3.467 3.467 -3.467" Properties=species:S:1:pos:R:3 comment="CaBr4 (PBE-GGA, relaxed)" total_energy_ev_per_atom=-2.606 formation_energy_uncorrected_ev_per_atom=-0.87 mass_density_g_cm3=3.582 pbc="T T T"
Br 1.734 1.734 1.734
Br -1.734 1.734 1.734
Br 1.734 1.734 -1.734
Br 1.734 -1.734 1.734
Ca 0.000 0.000 0.000


4
Lattice="-0.671 1.646 -3.088 -1.882 -2.820 -1.094 -9.234 4.461 4.384" Properties=species:S:1:pos:R:3 comment="CaBr3 (PBE-GGA, relaxed)" total_energy_ev_per_atom=-2.905 formation_energy_uncorrected_ev_per_atom=-1.15 mass_density_g_cm3=3.282 pbc="T T T"
Ca -3.585 0.528 -0.995
Br -0.891 0.431 0.423
Br -8.202 2.758 1.197
Br -3.726 1.800 1.769


4
Lattice="5.560 0.069 0.137 -2.014 5.183 0.137 -2.014 -2.982 4.241" Properties=species:S:1:pos:R:3 comment="CaBr3 (PBE-GGA, relaxed)" total_energy_ev_per_atom=-2.777 formation_energy_uncorrected_ev_per_atom=-1.02 mass_density_g_cm3=3.650 pbc="T T T"
Ca 1.773 -1.457 2.189
Br -2.014 1.100 2.189
Br 1.773 2.626 0.137
Br 0.000 0.000 0.000


6
Lattice="0.000 4.408 4.408 4.408 0.000 4.408 4.408 4.408 0.000" Properties=species:S:1:pos:R:3 comment="CaBr5 (PBE-GGA, relaxed)" total_energy_ev_per_atom=-2.053 de_polymorph_ev_per_atom=0.4118 formation_energy_uncorrected_ev_per_atom=-0.33 mass_density_g_cm3=4.260 pbc="T T T"
Br 3.306 3.306 5.511
Br 3.306 5.511 3.306
Br 2.204 2.204 2.204
Br 5.511 3.306 3.306
Ca 0.000 0.000 0.000
Br 5.511 5.511 5.511


4
Lattice="4.455 0.000 0.000 0.000 5.818 0.012 0.000 3.049 4.940" Properties=species:S:1:pos:R:3 comment="CaBr3 (PBE-GGA, relaxed)" total_energy_ev_per_atom=-3.070 formation_energy_uncorrected_ev_per_atom=-1.32 mass_density_g_cm3=3.634 pbc="T T T"
Br 2.228 6.650 3.714
Ca 2.228 2.217 1.238
Br 0.000 4.081 2.279
Br 0.000 0.352 0.197


4
Lattice="-2.338 1.353 6.005 4.467 -0.648 4.794 -1.404 3.225 -5.567" Properties=species:S:1:pos:R:3 comment="CaBr3 (PBE-GGA, relaxed)" total_energy_ev_per_atom=-3.027 formation_energy_uncorrected_ev_per_atom=-1.27 mass_density_g_cm3=3.485 pbc="T T T"
Br -0.557 3.279 -2.027
Br 0.170 3.520 1.659
Ca -1.132 1.385 0.133
Br -0.590 2.377 5.594


4
Lattice="6.430 0.002 0.000 3.365 5.479 0.000 -4.898 -2.741 3.138" Properties=species:S:1:pos:R:3 comment="CaBr3 (PBE-GGA, relaxed)" total_energy_ev_per_atom=-2.841 formation_energy_uncorrected_ev_per_atom=-1.09 mass_density_g_cm3=4.203 pbc="T T T"
Br 3.215 0.001 1.569
Br 1.683 2.740 1.569
Ca 0.000 0.000 0.000
Br 4.898 2.741 0.000


6
Lattice="1.971 -9.962 0.000 1.971 9.962 0.000 0.000 0.000 6.326" Properties=species:S:1:pos:R:3 comment="Ca5Br (PBE-GGA, relaxed)" total_energy_ev_per_atom=-2.255 de_polymorph_ev_per_atom=0.0839 formation_energy_uncorrected_ev_per_atom=-0.31 mass_density_g_cm3=1.874 pbc="T T T"
Br 1.971 9.105 0.000
Ca 1.971 3.527 0.000
Ca 1.971 7.857 3.163
Ca 1.971 -5.367 3.163
Ca 1.971 1.226 3.163
Ca 1.971 -3.065 0.000


4
Lattice="-0.770 5.347 9.379 -4.465 3.396 9.256 -1.087 1.387 10.679" Properties=species:S:1:pos:R:3 comment="CaBr3 (PBE-GGA, relaxed)" total_energy_ev_per_atom=-3.001 formation_energy_uncorrected_ev_per_atom=-1.25 mass_density_g_cm3=2.910 pbc="T T T"
Br -3.161 5.065 14.657
Ca 0.000 0.000 0.000
Br -4.537 7.268 21.035
Br -1.786 2.861 8.280


6
Lattice="1.916 6.574 0.019 -1.916 6.574 0.019 0.000 2.941 9.274" Properties=species:S:1:pos:R:3 comment="Ca5Br (PBE-GGA, relaxed)" total_energy_ev_per_atom=-2.334 de_polymorph_ev_per_atom=0.0050 formation_energy_uncorrected_ev_per_atom=-0.39 mass_density_g_cm3=1.994 pbc="T T T"
Ca 0.000 1.778 4.019
Ca 0.000 5.188 2.397
Ca 0.000 11.407 5.730
Ca 0.000 8.883 0.522
Br 0.000 12.961 0.163
Ca 0.000 7.788 7.383


8
Lattice="9.442 0.000 0.000 0.000 9.442 0.000 4.721 4.721 2.834" Properties=species:S:1:pos:R:3 comment="CaBr3 (PBE-GGA, relaxed)" total_energy_ev_per_atom=-3.005 formation_energy_uncorrected_ev_per_atom=-1.25 mass_density_g_cm3=3.678 pbc="T T T"
Br 11.803 11.395 2.125
Br 9.442 4.721 1.417
Ca 4.721 9.442 1.417
Br 7.082 7.490 2.125
Ca 4.721 4.721 0.000
Br 2.769 7.082 0.708
Br 0.000 0.000 0.000
Br 6.673 2.361 0.708


5
Lattice="1.102 1.810 3.520 -3.056 1.574 -2.251 -9.196 -7.917 6.951" Properties=species:S:1:pos:R:3 comment="Ca3Br2 (PBE-GGA, relaxed)" total_energy_ev_per_atom=-2.938 formation_energy_uncorrected_ev_per_atom=-1.07 mass_density_g_cm3=2.274 pbc="T T T"
Br -9.771 -5.321 5.796
Ca -5.304 -1.475 2.419
Ca 0.000 0.000 0.000
Ca -5.847 -3.058 5.802
Br -1.380 0.788 2.425


4
Lattice="0.000 3.824 3.824 3.824 0.000 3.824 3.824 3.824 0.000" Properties=species:S:1:pos:R:3 comment="CaBr3 (PBE-GGA, relaxed)" total_energy_ev_per_atom=-2.781 formation_energy_uncorrected_ev_per_atom=-1.03 mass_density_g_cm3=4.155 pbc="T T T"
Br 3.824 3.824 3.824
Br 5.736 5.736 5.736
Ca 0.000 0.000 0.000
Br 1.912 1.912 1.912


8
Lattice="-5.261 -2.117 1.939 2.505 -5.363 0.942 1.403 1.637 5.592" Properties=species:S:1:pos:R:3 comment="CaBr3 (PBE-GGA, relaxed)" total_energy_ev_per_atom=-2.967 formation_energy_uncorrected_ev_per_atom=-1.21 mass_density_g_cm3=4.317 pbc="T T T"
Br -0.063 -3.210 0.956
Br 1.328 -0.522 3.031
Br -2.693 -4.269 1.926
Ca 0.000 0.000 0.000
Br 2.580 -3.203 3.502
Br -2.280 -0.649 2.368
Br -1.578 0.170 5.164
Ca -0.677 -2.921 4.237


4
Lattice="4.350 0.000 0.000 0.000 4.349 0.000 0.000 0.000 7.304" Properties=species:S:1:pos:R:3 comment="CaBr3 (PBE-GGA, relaxed)" total_energy_ev_per_atom=-2.995 formation_energy_uncorrected_ev_per_atom=-1.24 mass_density_g_cm3=3.362 pbc="T T T"
Br 2.175 2.174 7.214
Br 2.175 0.000 3.107
Ca 0.000 2.174 1.942
Br 0.000 0.000 7.215